<A>
# BaSr2Ni | the Alexandria database | PBE | optimized geometry
data_BaSr2Ni
_chemical_formula_sum 'Ba1 Sr2 Ni1'
_cell_length_a 4.3127
_cell_length_b 7.2638
_cell_length_c 7.2700
_cell_angle_alpha 52.22
_cell_angle_beta 90.00
_cell_angle_gamma 90.00
_space_group_name_H-M_alt 'P 1'
_space_group_IT_number 1
_space_group_name_Hall 'P 1'
loop_
_atom_site_label
_atom_site_fract_x
_atom_site_fract_y
_atom_site_fract_z
Ni1 0.5000 0.7500 0.7500
Sr1 0.0000 0.5967 0.5968
Sr2 0.0000 0.9033 0.9032
Ba1 0.5000 0.2500 0.2500
# Crystal system: monoclinic
# Symmetry: P2/m, No. 10
# Magnetic moment, μB/atom: 0.000

<B>
# BaSr2Ni | the Alexandria database | PBE | optimized geometry
data_BaSr2Ni
_chemical_formula_sum 'Ba1 Sr2 Ni1'
_cell_length_a 3.8956
_cell_length_b 3.8956
_cell_length_c 10.4958
_cell_angle_alpha 90.00
_cell_angle_beta 90.00
_cell_angle_gamma 89.44
_space_group_name_H-M_alt 'P 1'
_space_group_IT_number 1
_space_group_name_Hall 'P 1'
loop_
_atom_site_label
_atom_site_fract_x
_atom_site_fract_y
_atom_site_fract_z
Ba1 0.0000 0.0000 0.5823
Ni1 0.5000 0.5000 0.7572
Sr1 0.5000 0.5000 0.2404
Sr2 0.0000 0.0000 0.9201
# Crystal system: orthorhombic
# Symmetry: Cmm2, No. 35
# Magnetic moment, μB/atom: 0.000

What should be chosen as the least stable of them? Choose <B>.

<A>
# BaSr2Ni | the Alexandria database | PBE | optimized geometry
data_BaSr2Ni
_chemical_formula_sum 'Ba1 Sr2 Ni1'
_cell_length_a 5.1581
_cell_length_b 5.1663
_cell_length_c 5.7543
_cell_angle_alpha 90.00
_cell_angle_beta 90.00
_cell_angle_gamma 90.00
_space_group_name_H-M_alt 'P 1'
_space_group_IT_number 1
_space_group_name_Hall 'P 1'
loop_
_atom_site_label
_atom_site_fract_x
_atom_site_fract_y
_atom_site_fract_z
Ni1 0.0000 0.5000 0.5000
Sr1 0.0000 0.0000 0.0000
Sr2 0.5000 0.5000 0.0000
Ba1 0.5000 0.0000 0.5000
# Crystal system: tetragonal
# Symmetry: P4/mmm, No. 123
# Magnetic moment, μB/atom: 0.000

<B>
# BaSr2Ni | the Alexandria database | PBE | optimized geometry
data_BaSr2Ni
_chemical_formula_sum 'Ba1 Sr2 Ni1'
_cell_length_a 7.0372
_cell_length_b 7.0372
_cell_length_c 7.0372
_cell_angle_alpha 137.96
_cell_angle_beta 137.96
_cell_angle_gamma 60.96
_space_group_name_H-M_alt 'P 1'
_space_group_IT_number 1
_space_group_name_Hall 'P 1'
loop_
_atom_site_label
_atom_site_fract_x
_atom_site_fract_y
_atom_site_fract_z
Ni1 0.7500 0.2500 0.5000
Sr1 0.5000 0.5000 0.0000
Ba1 0.2500 0.7500 0.5000
Sr2 0.0000 0.0000 0.0000
# Crystal system: tetragonal
# Symmetry: I4/mmm, No. 139
# Magnetic moment, μB/atom: 0.000

<C>
# BaSr2Ni | the Alexandria database | PBE | optimized geometry
data_BaSr2Ni
_chemical_formula_sum 'Ba4 Sr8 Ni4'
_cell_length_a 7.5168
_cell_length_b 7.1551
_cell_length_c 13.0774
_cell_angle_alpha 90.00
_cell_angle_beta 90.05
_cell_angle_gamma 90.00
_space_group_name_H-M_alt 'P 1'
_space_group_IT_number 1
_space_group_name_Hall 'P 1'
loop_
_atom_site_label
_atom_site_fract_x
_atom_site_fract_y
_atom_site_fract_z
Sr1 0.4228 0.7328 0.9243
Ba1 0.4160 0.7509 0.2497
Ni1 0.2499 0.5002 0.0866
Sr2 0.0772 0.2328 0.5757
Ba2 0.5840 0.2491 0.7503
Ni2 0.7501 0.4998 0.9134
Sr3 0.9229 0.7337 0.0752
Sr4 0.5772 0.2672 0.0757
Ni3 0.2501 0.0002 0.4134
Sr5 0.4229 0.7663 0.5752
Ba3 0.0840 0.2509 0.2503
Ni4 0.7499 0.9998 0.5866
Sr6 0.5771 0.2337 0.4248
Sr7 0.0771 0.2663 0.9248
Sr8 0.9228 0.7672 0.4243
Ba4 0.9160 0.7491 0.7497
# Crystal system: monoclinic
# Symmetry: P2_1/c, No. 14
# Magnetic moment, μB/atom: 0.000

<D>
# BaSr2Ni | the Alexandria database | PBE | optimized geometry
data_BaSr2Ni
_chemical_formula_sum 'Ba1 Sr2 Ni1'
_cell_length_a 4.3428
_cell_length_b 4.3428
_cell_length_c 10.9366
_cell_angle_alpha 78.55
_cell_angle_beta 78.55
_cell_angle_gamma 60.00
_space_group_name_H-M_alt 'P 1'
_space_group_IT_number 1
_space_group_name_Hall 'P 1'
loop_
_atom_site_label
_atom_site_fract_x
_atom_site_fract_y
_atom_site_fract_z
Sr1 0.7172 0.7172 0.8485
Ni1 0.0000 0.0000 0.0000
Sr2 0.2828 0.2828 0.1515
Ba1 0.5000 0.5000 0.5000
# Crystal system: trigonal
# Symmetry: R-3m, No. 166
# Magnetic moment, μB/atom: 0.000

What should be chosen as the least stable of them? Choose <B>.

<A>
# BaSr2Ni | the Alexandria database | PBE | optimized geometry
data_BaSr2Ni
_chemical_formula_sum 'Ba1 Sr2 Ni1'
_cell_length_a 7.4146
_cell_length_b 7.4146
_cell_length_c 7.4146
_cell_angle_alpha 148.85
_cell_angle_beta 129.78
_cell_angle_gamma 60.29
_space_group_name_H-M_alt 'P 1'
_space_group_IT_number 1
_space_group_name_Hall 'P 1'
loop_
_atom_site_label
_atom_site_fract_x
_atom_site_fract_y
_atom_site_fract_z
Sr1 0.7499 0.2499 0.5000
Ba1 0.4228 0.4228 0.0000
Sr2 0.0784 0.0784 0.0000
Ni1 0.2489 0.7489 0.5000
# Crystal system: orthorhombic
# Symmetry: Imm2, No. 44
# Magnetic moment, μB/atom: 0.000

<B>
# BaSr2Ni | the Alexandria database | PBE | optimized geometry
data_BaSr2Ni
_chemical_formula_sum 'Ba1 Sr2 Ni1'
_cell_length_a 6.1916
_cell_length_b 7.1853
_cell_length_c 4.1301
_cell_angle_alpha 75.16
_cell_angle_beta 85.84
_cell_angle_gamma 114.20
_space_group_name_H-M_alt 'P 1'
_space_group_IT_number 1
_space_group_name_Hall 'P 1'
loop_
_atom_site_label
_atom_site_fract_x
_atom_site_fract_y
_atom_site_fract_z
Ba1 0.0000 0.5000 0.5000
Ni1 0.5000 0.5000 0.0000
Sr1 0.0000 0.0000 0.0000
Sr2 0.5000 0.0000 0.5000
# Crystal system: monoclinic
# Symmetry: C2/m, No. 12
# Magnetic moment, μB/atom: 0.000

What should be chosen as the least stable of them? Choose <B>.

<A>
# BaSr2Ni2 | the Alexandria database | PBE | optimized geometry
data_BaSr2Ni2
_chemical_formula_sum 'Ba1 Sr2 Ni2'
_cell_length_a 4.9360
_cell_length_b 4.9360
_cell_length_c 7.2651
_cell_angle_alpha 70.14
_cell_angle_beta 70.14
_cell_angle_gamma 90.00
_space_group_name_H-M_alt 'P 1'
_space_group_IT_number 1
_space_group_name_Hall 'P 1'
loop_
_atom_site_label
_atom_site_fract_x
_atom_site_fract_y
_atom_site_fract_z
Ni1 0.5918 0.5918 0.8164
Ni2 0.4082 0.4082 0.1836
Ba1 0.0000 0.0000 0.0000
Sr1 0.2500 0.7500 0.5000
Sr2 0.7500 0.2500 0.5000
# Crystal system: tetragonal
# Symmetry: I4/mmm, No. 139
# Magnetic moment, μB/atom: 0.000

<B>
# BaSr2Ni2 | the Alexandria database | PBE | optimized geometry
data_BaSr2Ni2
_chemical_formula_sum 'Ba1 Sr2 Ni2'
_cell_length_a 5.3863
_cell_length_b 5.3863
_cell_length_c 6.9502
_cell_angle_alpha 67.20
_cell_angle_beta 67.20
_cell_angle_gamma 90.00
_space_group_name_H-M_alt 'P 1'
_space_group_IT_number 1
_space_group_name_Hall 'P 1'
loop_
_atom_site_label
_atom_site_fract_x
_atom_site_fract_y
_atom_site_fract_z
Sr1 0.3352 0.3352 0.3296
Ni1 0.7500 0.2500 0.5000
Sr2 0.6648 0.6648 0.6704
Ni2 0.2500 0.7500 0.5000
Ba1 0.0000 0.0000 0.0000
# Crystal system: tetragonal
# Symmetry: I4/mmm, No. 139
# Magnetic moment, μB/atom: 0.000

What should be chosen as the least stable of them? Choose <B>.

<A>
# BaSr2ZnNi | the Alexandria database | PBE | optimized geometry
data_BaSr2ZnNi
_chemical_formula_sum 'Ba1 Sr2 Zn1 Ni1'
_cell_length_a 5.7574
_cell_length_b 5.7574
_cell_length_c 5.9686
_cell_angle_alpha 90.00
_cell_angle_beta 90.00
_cell_angle_gamma 90.00
_space_group_name_H-M_alt 'P 1'
_space_group_IT_number 1
_space_group_name_Hall 'P 1'
loop_
_atom_site_label
_atom_site_fract_x
_atom_site_fract_y
_atom_site_fract_z
Sr1 0.0000 0.5000 0.0000
Ni1 0.0000 0.0000 0.0000
Sr2 0.5000 0.0000 0.0000
Ba1 0.0000 0.0000 0.5000
Zn1 0.5000 0.5000 0.5000
# Crystal system: tetragonal
# Symmetry: P4/mmm, No. 123
# Magnetic moment, μB/atom: 0.000

<B>
# BaSr2ZnNi | the Alexandria database | PBE | optimized geometry
data_BaSr2ZnNi
_chemical_formula_sum 'Ba1 Sr2 Zn1 Ni1'
_cell_length_a 5.8455
_cell_length_b 5.8455
_cell_length_c 5.0176
_cell_angle_alpha 90.00
_cell_angle_beta 90.00
_cell_angle_gamma 90.00
_space_group_name_H-M_alt 'P 1'
_space_group_IT_number 1
_space_group_name_Hall 'P 1'
loop_
_atom_site_label
_atom_site_fract_x
_atom_site_fract_y
_atom_site_fract_z
Sr1 0.5000 0.0000 0.0000
Ni1 0.0000 0.0000 0.0000
Zn1 0.0000 0.0000 0.5000
Sr2 0.0000 0.5000 0.0000
Ba1 0.5000 0.5000 0.5000
# Crystal system: tetragonal
# Symmetry: P4/mmm, No. 123
# Magnetic moment, μB/atom: 0.000

What should be chosen as the least stable of them? Choose <A>.

<A>
# BaTa3Ni | the Alexandria database | PBE | optimized geometry
data_BaTa3Ni
_chemical_formula_sum 'Ba1 Ta3 Ni1'
_cell_length_a 4.8365
_cell_length_b 4.8365
_cell_length_c 4.8365
_cell_angle_alpha 90.00
_cell_angle_beta 90.00
_cell_angle_gamma 90.00
_space_group_name_H-M_alt 'P 1'
_space_group_IT_number 1
_space_group_name_Hall 'P 1'
loop_
_atom_site_label
_atom_site_fract_x
_atom_site_fract_y
_atom_site_fract_z
Ta1 0.5000 0.0000 0.0000
Ba1 0.5000 0.5000 0.5000
Ta2 0.0000 0.5000 0.0000
Ni1 0.0000 0.0000 0.0000
Ta3 0.0000 0.0000 0.5000
# Crystal system: cubic
# Symmetry: Pm-3m, No. 221
# Magnetic moment, μB/atom: 0.000

<B>
# BaTa3Ni | the Alexandria database | PBE | optimized geometry
data_BaTa3Ni
_chemical_formula_sum 'Ba1 Ta3 Ni1'
_cell_length_a 5.0140
_cell_length_b 5.0140
_cell_length_c 5.0140
_cell_angle_alpha 90.00
_cell_angle_beta 90.00
_cell_angle_gamma 90.00
_space_group_name_H-M_alt 'P 1'
_space_group_IT_number 1
_space_group_name_Hall 'P 1'
loop_
_atom_site_label
_atom_site_fract_x
_atom_site_fract_y
_atom_site_fract_z
Ta1 0.5000 0.0000 0.0000
Ni1 0.5000 0.5000 0.5000
Ta2 0.0000 0.0000 0.5000
Ba1 0.0000 0.0000 0.0000
Ta3 0.0000 0.5000 0.0000
# Crystal system: cubic
# Symmetry: Pm-3m, No. 221
# Magnetic moment, μB/atom: 0.000

What should be chosen as the least stable of them? Choose <B>.